[1]
Density functional theory data (PBE) for a geometry-optimized NaGaOF2 structure.

Calculated values
Formation energy without anion corrections (kJ/mol of formula units): -1091
D(E_F) (states/eV per cell): 0.00
Energy relative to the lowest polymorph listed for this composition (meV per atom): 0

The structure in CIF format:
```
data_NaGaOF2
_chemical_formula_sum 'Na1 Ga1 O1 F2'
_symmetry_space_group_name_H-M 'P 1'
_symmetry_Int_Tables_number 1
_symmetry_space_group_name_Hall 'P 1'
_cell_length_a 4.084
_cell_length_b 4.084
_cell_length_c 3.625
_cell_angle_alpha 90.00
_cell_angle_beta 90.00
_cell_angle_gamma 90.00
loop_
_atom_site_label
_atom_site_type_symbol
_atom_site_fract_x
_atom_site_fract_y
_atom_site_fract_z
Na1 Na 0.500 0.500 0.500
O1 O 0.000 0.000 0.500
F1 F 0.500 0.000 0.000
F2 F 0.000 0.500 0.000
Ga1 Ga 0.000 0.000 0.000
```



[2]
Density functional theory data (PBE) for a geometry-optimized NaGaO2F structure.

Calculated values
Formation energy without anion corrections (kJ/mol of formula units): -803
D(E_F) (states/eV per cell): 1.67

The structure in CIF format:
```
data_NaGaO2F
_chemical_formula_sum 'Na1 Ga1 O2 F1'
_symmetry_space_group_name_H-M 'P 1'
_symmetry_Int_Tables_number 1
_symmetry_space_group_name_Hall 'P 1'
_cell_length_a 3.801
_cell_length_b 3.801
_cell_length_c 4.167
_cell_angle_alpha 90.00
_cell_angle_beta 90.00
_cell_angle_gamma 90.00
loop_
_atom_site_label
_atom_site_type_symbol
_atom_site_fract_x
_atom_site_fract_y
_atom_site_fract_z
F1 F 0.000 0.000 0.500
Na1 Na 0.500 0.500 0.500
O1 O 0.000 0.500 0.000
Ga1 Ga 0.000 0.000 0.000
O2 O 0.500 0.000 0.000
```



[3]
Density functional theory data (PBE) for a geometry-optimized NaGaOF2 structure.

Calculated values
Formation energy without anion corrections (kJ/mol of formula units): -458
D(E_F) (states/eV per cell): 1.70
Energy relative to the lowest polymorph listed for this composition (meV per atom): 1313

The structure in CIF format:
```
data_NaGaOF2
_chemical_formula_sum 'Na1 Ga1 O1 F2'
_symmetry_space_group_name_H-M 'P 1'
_symmetry_Int_Tables_number 1
_symmetry_space_group_name_Hall 'P 1'
_cell_length_a 4.117
_cell_length_b 4.117
_cell_length_c 4.329
_cell_angle_alpha 90.00
_cell_angle_beta 90.00
_cell_angle_gamma 90.00
loop_
_atom_site_label
_atom_site_type_symbol
_atom_site_fract_x
_atom_site_fract_y
_atom_site_fract_z
F1 F 0.500 0.000 0.000
O1 O 0.000 0.000 0.500
Na1 Na 0.000 0.000 0.000
F2 F 0.000 0.500 0.000
Ga1 Ga 0.500 0.500 0.500
```



[4]
Density functional theory data (PBE) for a geometry-optimized NaGaO2F structure.

Calculated values
Formation energy without anion corrections (kJ/mol of formula units): -126
D(E_F) (states/eV per cell): 5.56

The structure in CIF format:
```
data_NaGaO2F
_chemical_formula_sum 'Na1 Ga1 O2 F1'
_symmetry_space_group_name_H-M 'P 1'
_symmetry_Int_Tables_number 1
_symmetry_space_group_name_Hall 'P 1'
_cell_length_a 4.285
_cell_length_b 4.285
_cell_length_c 4.171
_cell_angle_alpha 90.00
_cell_angle_beta 90.00
_cell_angle_gamma 90.00
loop_
_atom_site_label
_atom_site_type_symbol
_atom_site_fract_x
_atom_site_fract_y
_atom_site_fract_z
F1 F 0.000 0.000 0.500
Ga1 Ga 0.500 0.500 0.500
Na1 Na 0.000 0.000 0.000
O1 O 0.000 0.500 0.000
O2 O 0.500 0.000 0.000
```